Tb5SbPd2 | PBEsol | relaxed

Output
**Magnetic moment**: 0.0 μB/cell
**Symmetry**: No. 140
**E_form (uncorrected)**: -765 meV per atom

Cell and atoms, written as POSCAR:
```
Tb5SbPd2
1.0
-3.8502 3.8502 6.6746
3.8502 -3.8502 6.6746
3.8502 3.8502 -6.6746
Tb Sb Pd
10 2 4
direct
0.0000 0.0000 0.0000
0.0146 0.5146 0.8139
0.2008 0.0146 0.5000
0.2992 0.7992 0.8139
0.4854 0.2992 0.5000
0.5000 0.5000 0.0000
0.5146 0.7008 0.5000
0.7008 0.2008 0.1861
0.7992 0.9854 0.5000
0.9854 0.4854 0.1861
0.2500 0.2500 0.0000
0.7500 0.7500 0.0000
0.1344 0.3656 0.5000
0.3656 0.8656 0.2311
0.6344 0.1344 0.7689
0.8656 0.6344 0.5000
```